DFT (PBE) results for a relaxed AcPm2Rh crystal.

a = 7.468 Å, b = 10.107 Å, c = 6.620 Å
α = 90.00°, β = 90.00°, γ = 90.00°
Element x y z (fractional)
Ac 0.039 0.250 0.144
Ac 0.461 0.750 0.644
Ac 0.539 0.250 0.356
Ac 0.961 0.750 0.856
Pm 0.174 0.068 0.668
Pm 0.174 0.432 0.668
Pm 0.326 0.568 0.168
Pm 0.326 0.932 0.168
Pm 0.674 0.068 0.832
Pm 0.674 0.432 0.832
Pm 0.826 0.568 0.332
Pm 0.826 0.932 0.332
Rh 0.120 0.750 0.416
Rh 0.380 0.250 0.916
Rh 0.620 0.750 0.084
Rh 0.880 0.250 0.584

* formation energy from the elements: -0.430 eV/atom
* N(E_F): 18.37 states/eV per cell
* energy: -5.6701 eV per atom
* energy relative to the lowest polymorph listed for this composition: 0 meV/atom